A relaxed structure of SrCeNpN3. Source: the Alexandria database, functional GGA-PBE.

Cell: 7.469 3.703 8.876 Å, 90.00 99.16 90.00°
Space group P2_1/m (No. 11)
Asymmetric unit:
Sr1 0.164 0.250 0.143 (multiplicity 2)
Ce1 0.371 0.750 0.848 (multiplicity 2)
Np1 0.055 0.250 0.593 (multiplicity 2)
N1 0.107 0.250 0.832 (multiplicity 2)
N2 0.212 0.750 0.592 (multiplicity 2)
N3 0.418 0.750 0.107 (multiplicity 2)

Calculated values
- ΔE_f (raw) (eV/atom) = -0.9197
- DOS(E_F) (states/eV/f.u.) = 5.17
- magnetization (μB/f.u.) = 1.32